Record 1
Compound: SrBeIn4
Source: Alexandria
Functional: PBE
Structure: optimized geometry

a = 6.194 Å, b = 6.194 Å, c = 6.194 Å
α = 60.00°, β = 60.00°, γ = 60.00°
Element x y z (fractional)
Sr 0.750 0.750 0.750
Be 0.000 0.000 0.000
In 0.877 0.374 0.374
In 0.374 0.374 0.877
In 0.374 0.877 0.374
In 0.374 0.374 0.374

Results
Fermi-level density of states: 0.589 states/eV per atom

***

Record 2
Compound: YIn2Te
Source: Alexandria
Functional: PBE
Structure: optimized geometry

a = 5.856 Å, b = 5.856 Å, c = 5.856 Å
α = 132.34°, β = 132.34°, γ = 69.70°
Element x y z (fractional)
In 0.000 0.000 0.000
In 0.250 0.750 0.500
Te 0.500 0.500 0.000
Y 0.750 0.250 0.500

Results
Fermi-level density of states: 0.622 states/eV per atom

***

Record 3
Compound: Ho2ErAg3Se6
Source: Alexandria
Functional: PBE
Structure: optimized geometry

a = 4.151 Å, b = 8.069 Å, c = 9.073 Å
α = 100.53°, β = 103.22°, γ = 90.00°
Element x y z (fractional)
Ho 0.833 0.669 0.666
Ho 0.167 0.331 0.334
Er 0.500 0.000 0.000
Ag 0.500 0.500 0.000
Ag 0.832 0.171 0.664
Ag 0.168 0.829 0.336
Se 0.335 0.916 0.670
Se 0.668 0.578 0.336
Se 0.665 0.084 0.330
Se 0.001 0.245 0.003
Se 0.999 0.755 0.997
Se 0.332 0.422 0.664

Results
Fermi-level density of states: 0.000 states/eV per atom

***

Record 4
Compound: Ce4Er3Si4
Source: Alexandria
Functional: PBE
Structure: optimized geometry

a = 3.624 Å, b = 8.550 Å, c = 9.807 Å
α = 115.84°, β = 100.65°, γ = 90.00°
Each line ends with the local moment (μB).
Element x y z (fractional)
Ce 0.330 0.166 0.659  0.43
Ce 0.670 0.507 0.341  0.43
Ce 0.670 0.834 0.341  0.43
Ce 0.330 0.493 0.659  0.43
Er 0.094 0.094 0.187  0.03
Er 0.906 0.906 0.813  0.03
Er 0.000 0.500 0.000  -0.02
Si 0.279 0.779 0.558  -0.02
Si 0.721 0.221 0.442  -0.02
Si 0.500 0.777 0.000  -0.01
Si 0.500 0.223 0.000  -0.01

Results
Fermi-level density of states: 1.596 states/eV per atom

***

Record 5
Compound: TaFe2Te
Source: Alexandria
Functional: PBE
Structure: optimized geometry

a = 4.999 Å, b = 4.999 Å, c = 4.999 Å
α = 139.89°, β = 127.44°, γ = 68.11°
Each line ends with the local moment (μB).
Element x y z (fractional)
Fe 0.998 0.998 0.000  2.00
Fe 0.502 0.502 0.000  2.00
Ta 0.750 0.250 0.500  -0.37
Te 0.250 0.750 0.500  0.02

Results
Fermi-level density of states: 1.171 states/eV per atom

***

Record 6
Compound: ZrTi2Mo2
Source: Alexandria
Functional: PBE
Structure: optimized geometry

a = 7.459 Å, b = 7.459 Å, c = 3.210 Å
α = 90.00°, β = 90.00°, γ = 90.00°
Element x y z (fractional)
Mo 0.347 0.847 0.000
Mo 0.847 0.653 0.000
Mo 0.653 0.153 0.000
Mo 0.153 0.347 0.000
Zr 0.000 0.000 0.000
Zr 0.500 0.500 0.000
Ti 0.143 0.643 0.500
Ti 0.643 0.857 0.500
Ti 0.857 0.357 0.500
Ti 0.357 0.143 0.500

Results
Fermi-level density of states: 0.716 states/eV per atom
energy above the most stable polymorph in this dataset: 0.000 eV/atom

***

Record 7
Compound: Nd2TiZn12Cu3
Source: Alexandria
Functional: PBE
Structure: optimized geometry

a = 8.436 Å, b = 8.436 Å, c = 8.436 Å
α = 52.80°, β = 52.80°, γ = 52.80°
Element x y z (fractional)
Nd 0.591 0.591 0.591
Nd 0.409 0.409 0.409
Ti 0.000 0.000 0.000
Zn 0.219 0.219 0.868
Zn 0.836 0.836 0.469
Zn 0.469 0.836 0.836
Zn 0.868 0.219 0.219
Zn 0.836 0.469 0.836
Zn 0.219 0.868 0.219
Zn 0.781 0.781 0.132
Zn 0.164 0.164 0.531
Zn 0.531 0.164 0.164
Zn 0.132 0.781 0.781
Zn 0.164 0.531 0.164
Zn 0.781 0.132 0.781
Cu 0.500 0.000 0.000
Cu 0.000 0.500 0.000
Cu 0.000 0.000 0.500

Results
Fermi-level density of states: 0.526 states/eV per atom

***

Record 8
Compound: InFeNi
Source: Alexandria
Functional: PBE
Structure: optimized geometry

a = 2.909 Å, b = 2.909 Å, c = 6.235 Å
α = 90.00°, β = 90.00°, γ = 120.00°
Each line ends with the local moment (μB).
Element x y z (fractional)
Fe 0.000 0.000 0.973  2.69
In 0.333 0.667 0.340  -0.06
Ni 0.667 0.333 0.687  0.45

Results
Fermi-level density of states: 0.927 states/eV per atom
energy above the most stable polymorph in this dataset: 0.210 eV/atom

***

Record 9
Compound: PmCd2Pd3
Source: Alexandria
Functional: PBE
Structure: optimized geometry

a = 4.786 Å, b = 4.786 Å, c = 11.771 Å
α = 90.00°, β = 90.00°, γ = 120.00°
Element x y z (fractional)
Pm 0.333 0.667 0.672
Pm 0.667 0.333 0.328
Cd 0.000 0.000 0.500
Cd 0.333 0.667 0.162
Cd 0.667 0.333 0.838
Cd 0.000 0.000 0.000
Pd 0.333 0.667 0.418
Pd 0.667 0.333 0.079
Pd 0.000 0.000 0.765
Pd 0.000 0.000 0.235
Pd 0.333 0.667 0.921
Pd 0.667 0.333 0.582

Results
Fermi-level density of states: 0.423 states/eV per atom
energy above the most stable polymorph in this dataset: 0.000 eV/atom

***

Record 10
Compound: ZnRu2Au
Source: Alexandria
Functional: PBE
Structure: optimized geometry

a = 2.760 Å, b = 2.760 Å, c = 7.973 Å
α = 90.00°, β = 90.00°, γ = 90.00°
Each line ends with the local moment (μB).
Element x y z (fractional)
Au 0.500 0.500 0.750  0.09
Ru 0.000 0.000 0.016  1.30
Ru 0.000 0.000 0.484  1.30
Zn 0.500 0.500 0.250  -0.01

Results
Fermi-level density of states: 1.110 states/eV per atom

***

Record 11
Compound: PtPbAu2
Source: Alexandria
Functional: PBE
Structure: optimized geometry

a = 5.325 Å, b = 5.325 Å, c = 5.325 Å
α = 133.38°, β = 133.38°, γ = 68.06°
Element x y z (fractional)
Au 0.000 0.000 0.000
Au 0.250 0.750 0.500
Pb 0.500 0.500 0.000
Pt 0.750 0.250 0.500

Results
Fermi-level density of states: 0.500 states/eV per atom

***

Record 12
Compound: Ta3MoRu
Source: Alexandria
Functional: PBE
Structure: optimized geometry

a = 4.743 Å, b = 4.743 Å, c = 4.743 Å
α = 90.00°, β = 90.00°, γ = 90.00°
Element x y z (fractional)
Ru 0.500 0.500 0.500
Mo 0.000 0.000 0.000
Ta 0.000 0.500 0.000
Ta 0.000 0.000 0.500
Ta 0.500 0.000 0.000

Results
Fermi-level density of states: 1.549 states/eV per atom
energy above the most stable polymorph in this dataset: 2.010 eV/atom

***

Taking the records one at a time from the top gives E values of -14.815; -16.941; -57.114; -64.595; -30.441; -90.539; -42.099; -16.016; -51.067; -21.717; -16.125; -47.292 eV/cell.